Entry 1:
The following is a DFT calculation (GGA-PBE) of a geometry-optimized Sr2Cd9Sn3 structure.

Calculated values
SG	No. 63

a b c (Å): 8.970 8.970 10.108
angles (deg): 90.00 90.00 66.24
Positions (direct):
Sr: 0.033 0.274 0.250
Sr: 0.274 0.033 0.750
Sr: 0.726 0.967 0.250
Sr: 0.967 0.726 0.750
Cd: 0.030 0.633 0.095
Cd: 0.030 0.633 0.405
Cd: 0.182 0.818 0.250
Cd: 0.320 0.680 0.567
Cd: 0.320 0.680 0.933
Cd: 0.367 0.970 0.095
Cd: 0.367 0.970 0.405
Cd: 0.370 0.439 0.250
Cd: 0.439 0.370 0.750
Cd: 0.561 0.630 0.250
Cd: 0.630 0.561 0.750
Cd: 0.633 0.030 0.595
Cd: 0.633 0.030 0.905
Cd: 0.680 0.320 0.067
Cd: 0.680 0.320 0.433
Cd: 0.818 0.182 0.750
Cd: 0.970 0.367 0.595
Cd: 0.970 0.367 0.905
Sn: 0.000 0.000 0.000
Sn: 0.000 0.000 0.500
Sn: 0.309 0.309 0.000
Sn: 0.309 0.309 0.500
Sn: 0.691 0.691 0.000
Sn: 0.691 0.691 0.500



Entry 2:
The following is a DFT calculation (GGA-PBE) of a geometry-optimized SrCd3Sn3 structure.

Calculated values
SG	No. 148
E above lowest polymorph	0	meV/atom

a b c (Å): 9.671 9.671 9.671
angles (deg): 44.02 44.02 44.02
Positions (direct):
Sr: 0.192 0.192 0.192
Sr: 0.808 0.808 0.808
Cd: 0.108 0.573 0.238
Cd: 0.238 0.108 0.573
Cd: 0.427 0.762 0.892
Cd: 0.573 0.238 0.108
Cd: 0.762 0.892 0.427
Cd: 0.892 0.427 0.762
Sn: 0.259 0.715 0.325
Sn: 0.285 0.675 0.741
Sn: 0.325 0.259 0.715
Sn: 0.675 0.741 0.285
Sn: 0.715 0.325 0.259
Sn: 0.741 0.285 0.675



no.,formation energy from the elements (meV per atom),total magnetic moment (μB per atom),volume (Å³/atom)
1,-191,0.00,26.58
2,-157,0.00,28.35